The following is a GGA-PBE calculation of an optimized crystal structure of La2PmPr3Ho6, from Alexandria via LeMat-Bulk.

```
La2PmPr3Ho6
1.0
3.148 -5.451 0.000
3.148 5.451 0.000
-2.095 0.000 11.667
La Pm Pr Ho
2 1 3 6
direct
0.166 0.834 0.000
0.834 0.166 0.000
0.500 0.500 0.000
0.000 0.000 0.500
0.333 0.667 0.500
0.667 0.333 0.500
0.084 0.416 0.750
0.251 0.251 0.250
0.416 0.084 0.750
0.584 0.916 0.250
0.749 0.749 0.750
0.916 0.584 0.250
```

Results
The value obtained for the total energy is -4.688 eV/atom. The calculation puts the formation energy at 13 meV/atom. For the magnetic moment, the calculation gives 0.000 Bohr magnetons per cell. The symmetry is C2/m.